<a>
# Pr5Tm2Sc2, optimized geometry, DFT PBE-GGA
# spin magnetization	0.00	μB/f.u.
# density	6.44	Mg/m³
# calculated volume	584	Å³ per cell
data_Pr5Tm2Sc2
_chemical_formula_sum 'Pr10 Tm4 Sc4'
_cell_length_a 19.968
_cell_length_b 3.481
_cell_length_c 8.618
_cell_angle_alpha 90.00
_cell_angle_beta 102.74
_cell_angle_gamma 90.00
_space_group_name_H-M_alt 'C 1 2/m 1'
_space_group_IT_number 12
loop_
_space_group_symop_operation_xyz
'x,y,z'
'-x,-y,-z'
'-x,y,-z'
'x,-y,z'
'x+1/2,y+1/2,z'
'-x+1/2,-y+1/2,-z'
'-x+1/2,y+1/2,-z'
'x+1/2,-y+1/2,z'
loop_
_atom_site_label
_atom_site_type_symbol
_atom_site_fract_x
_atom_site_fract_y
_atom_site_fract_z
Pr1 Pr 0.000 0.000 0.000
Pr2 Pr 0.162 0.500 0.984
Pr3 Pr 0.217 0.000 0.645
Tm1 Tm 0.054 0.000 0.660
Sc1 Sc 0.095 0.500 0.352

<b>
# Pr5Tm2Sc2, optimized geometry, DFT PBE-GGA
# spin magnetization	0.00	μB/f.u.
# density	6.35	Mg/m³
# calculated volume	1185	Å³ per cell
data_Pr5Tm2Sc2
_chemical_formula_sum 'Pr20 Tm8 Sc8'
_cell_length_a 19.349
_cell_length_b 8.568
_cell_length_c 7.147
_cell_angle_alpha 90.00
_cell_angle_beta 90.00
_cell_angle_gamma 90.00
_space_group_name_H-M_alt 'I m a 2'
_space_group_IT_number 46
loop_
_space_group_symop_operation_xyz
'x,y,z'
'-x,-y,z'
'-x+1/2,y,z'
'x+1/2,-y,z'
'x+1/2,y+1/2,z+1/2'
'-x+1/2,-y+1/2,z+1/2'
'-x,y+1/2,z+1/2'
'x,-y+1/2,z+1/2'
loop_
_atom_site_label
_atom_site_type_symbol
_atom_site_fract_x
_atom_site_fract_y
_atom_site_fract_z
Pr1 Pr 0.108 0.225 0.000
Pr2 Pr 0.161 0.745 0.002
Pr3 Pr 0.250 0.047 0.252
Tm1 Tm 0.000 0.000 0.714
Tm2 Tm 0.250 0.057 0.748
Sc1 Sc 0.038 0.638 0.748

Which of them is the most stable? Correct choice: <a>.

<a>
# Pr8Tm3Sc2, optimized geometry, DFT PBE-GGA
# spin magnetization	0.00	μB/f.u.
# density	6.46	Mg/m³
# calculated volume	886	Å³ per cell
data_Pr8Tm3Sc2
_chemical_formula_sum 'Pr16 Tm6 Sc4'
_cell_length_a 7.822
_cell_length_b 19.828
_cell_length_c 5.711
_cell_angle_alpha 90.00
_cell_angle_beta 90.00
_cell_angle_gamma 90.00
_space_group_name_H-M_alt 'C m m m'
_space_group_IT_number 65
_space_group_name_Hall '-C 2 2'
loop_
_atom_site_label
_atom_site_type_symbol
_atom_site_fract_x
_atom_site_fract_y
_atom_site_fract_z
Pr1 Pr 0.000 0.130 0.000
Pr2 Pr 0.000 0.320 0.000
Pr3 Pr 0.203 0.391 0.500
Tm1 Tm 0.000 0.000 0.500
Tm2 Tm 0.212 0.500 0.000
Sc1 Sc 0.000 0.238 0.500

<b>
# Pr8Tm3Sc2, optimized geometry, DFT PBE-GGA
# spin magnetization	0.00	μB/f.u.
# density	6.34	Mg/m³
# calculated volume	903	Å³ per cell
data_Pr8Tm3Sc2
_chemical_formula_sum 'Pr16 Tm6 Sc4'
_cell_length_a 15.259
_cell_length_b 9.260
_cell_length_c 6.769
_cell_angle_alpha 90.00
_cell_angle_beta 109.19
_cell_angle_gamma 90.00
_space_group_name_H-M_alt 'C 1 2/m 1'
_space_group_IT_number 12
loop_
_space_group_symop_operation_xyz
'x,y,z'
'-x,-y,-z'
'-x,y,-z'
'x,-y,z'
'x+1/2,y+1/2,z'
'-x+1/2,-y+1/2,-z'
'-x+1/2,y+1/2,-z'
'x+1/2,-y+1/2,z'
loop_
_atom_site_label
_atom_site_type_symbol
_atom_site_fract_x
_atom_site_fract_y
_atom_site_fract_z
Pr1 Pr 0.105 0.000 0.204
Pr2 Pr 0.122 0.182 0.693
Pr3 Pr 0.187 0.500 0.387
Tm1 Tm 0.000 0.332 0.000
Tm2 Tm 0.000 0.500 0.500
Sc1 Sc 0.188 0.500 0.918

Which of them is the most stable? Correct choice: <a>.

<a>
# Pr2TmSc2, optimized geometry, DFT PBE-GGA
# spin magnetization	0.00	μB/f.u.
# density	5.64	Mg/m³
# calculated volume	637	Å³ per cell
data_Pr2TmSc2
_chemical_formula_sum 'Pr8 Tm4 Sc8'
_cell_length_a 6.619
_cell_length_b 15.800
_cell_length_c 6.092
_cell_angle_alpha 90.00
_cell_angle_beta 90.00
_cell_angle_gamma 90.00
_space_group_name_H-M_alt 'C m c m'
_space_group_IT_number 63
_space_group_name_Hall '-C 2c 2'
loop_
_atom_site_label
_atom_site_type_symbol
_atom_site_fract_x
_atom_site_fract_y
_atom_site_fract_z
Pr1 Pr 0.000 0.102 0.250
Pr2 Pr 0.000 0.323 0.750
Tm1 Tm 0.000 0.500 0.000
Sc1 Sc 0.237 0.333 0.250

<b>
# Pr2TmSc2, optimized geometry, DFT PBE-GGA
# spin magnetization	0.00	μB/f.u.
# density	5.99	Mg/m³
# calculated volume	300	Å³ per cell
data_Pr2TmSc2
_chemical_formula_sum 'Pr4 Tm2 Sc4'
_cell_length_a 11.016
_cell_length_b 4.937
_cell_length_c 7.751
_cell_angle_alpha 90.00
_cell_angle_beta 134.71
_cell_angle_gamma 90.00
_space_group_name_H-M_alt 'C 1 2/m 1'
_space_group_IT_number 12
loop_
_space_group_symop_operation_xyz
'x,y,z'
'-x,-y,-z'
'-x,y,-z'
'x,-y,z'
'x+1/2,y+1/2,z'
'-x+1/2,-y+1/2,-z'
'-x+1/2,y+1/2,-z'
'x+1/2,-y+1/2,z'
loop_
_atom_site_label
_atom_site_type_symbol
_atom_site_fract_x
_atom_site_fract_y
_atom_site_fract_z
Pr1 Pr 0.203 0.000 0.110
Tm1 Tm 0.000 0.000 0.500
Sc1 Sc 0.104 0.500 0.302

Which of them is the most stable? Correct choice: <b>.

<a>
# Pr2Tm3Sc2, optimized geometry, DFT PBE-GGA
# spin magnetization	0.00	μB/f.u.
# density	6.95	Mg/m³
# calculated volume	420	Å³ per cell
data_Pr2Tm3Sc2
_chemical_formula_sum 'Pr4 Tm6 Sc4'
_cell_length_a 10.934
_cell_length_b 4.968
_cell_length_c 7.814
_cell_angle_alpha 90.00
_cell_angle_beta 98.55
_cell_angle_gamma 90.00
_space_group_name_H-M_alt 'C 1 2/m 1'
_space_group_IT_number 12
loop_
_space_group_symop_operation_xyz
'x,y,z'
'-x,-y,-z'
'-x,y,-z'
'x,-y,z'
'x+1/2,y+1/2,z'
'-x+1/2,-y+1/2,-z'
'-x+1/2,y+1/2,-z'
'x+1/2,-y+1/2,z'
loop_
_atom_site_label
_atom_site_type_symbol
_atom_site_fract_x
_atom_site_fract_y
_atom_site_fract_z
Pr1 Pr 0.074 0.000 0.224
Tm1 Tm 0.000 0.500 0.500
Tm2 Tm 0.144 0.500 0.929
Sc1 Sc 0.215 0.000 0.642

<b>
# Pr2Tm3Sc2, optimized geometry, DFT PBE-GGA
# spin magnetization	0.00	μB/f.u.
# density	6.90	Mg/m³
# calculated volume	423	Å³ per cell
data_Pr2Tm3Sc2
_chemical_formula_sum 'Pr4 Tm6 Sc4'
_cell_length_a 5.183
_cell_length_b 23.416
_cell_length_c 3.481
_cell_angle_alpha 90.00
_cell_angle_beta 90.00
_cell_angle_gamma 90.00
_space_group_name_H-M_alt 'C m m m'
_space_group_IT_number 65
_space_group_name_Hall '-C 2 2'
loop_
_atom_site_label
_atom_site_type_symbol
_atom_site_fract_x
_atom_site_fract_y
_atom_site_fract_z
Pr1 Pr 0.000 0.077 0.000
Tm1 Tm 0.000 0.342 0.500
Tm2 Tm 0.000 0.500 0.500
Sc1 Sc 0.000 0.217 0.000

Which of them is the most stable? Correct choice: <b>.